(1)
Computed, not measured: a relaxed Zn2AgCl5 crystal at the PBE level of DFT.

Summary:
* E_tot: -88.253 eV for the cell shown
* DOS at the Fermi energy: 0.00 states/eV/f.u.

a b c (Å): 3.7506 13.2241 18.6126
angles (deg): 90.00 90.00 90.00
Space group Cmcm (No. 63)
One atom of each set of equivalent atoms:
Zn  0.0000  0.2433  0.1331 [8 per cell]
Ag  0.0000  0.4961  0.2500 [4 per cell]
Cl  0.0000  0.1626  0.2500 [4 per cell]
Cl  0.0000  0.3274  0.5811 [8 per cell]
Cl  0.0000  0.4113  0.1307 [8 per cell]

(2)
Computed, not measured: a relaxed ZnAg2Cl crystal at the PBE level of DFT.

Summary:
* ΔE to the lowest computed polymorph: 156 meV/atom
* DOS at the Fermi energy: 1.27 states/eV/f.u.

a b c (Å): 3.1587 4.3894 5.6921
angles (deg): 90.00 90.00 90.00
Space group Pmmm (No. 47)
One atom of each set of equivalent atoms:
Zn  0.0000  0.0000  0.0000 [1 per cell]
Ag  0.0000  0.5000  0.5000 [1 per cell]
Ag  0.5000  0.5000  0.0000 [1 per cell]
Cl  0.5000  0.0000  0.5000 [1 per cell]

(3)
Computed, not measured: a relaxed ZnAg2Cl crystal at the PBE level of DFT.

Summary:
* ΔE to the lowest computed polymorph: 107 meV/atom
* DOS at the Fermi energy: 0.61 states/eV/f.u.

a b c (Å): 3.3331 5.4625 8.3418
angles (deg): 90.00 90.00 90.00
Space group Cmmm (No. 65)
One atom of each set of equivalent atoms:
Zn  0.0000  0.0000  0.0000 [2 per cell]
Ag  0.0000  0.5000  0.2458 [4 per cell]
Cl  0.0000  0.0000  0.5000 [2 per cell]

(4)
Computed, not measured: a relaxed ZnAgCl crystal at the PBE level of DFT.

Summary:
* ΔE to the lowest computed polymorph: 289 meV/atom

a b c (Å): 6.5886 6.5886 6.5886
angles (deg): 90.00 90.00 90.00
Space group F-43m (No. 216)
One atom of each set of equivalent atoms:
Zn  0.0000  0.0000  0.0000 [4 per cell]
Ag  0.2500  0.2500  0.7500 [4 per cell]
Cl  0.0000  0.0000  0.5000 [4 per cell]

(5)
Computed, not measured: a relaxed ZnAgCl crystal at the PBE level of DFT.

Summary:
* ΔE to the lowest computed polymorph: 139 meV/atom
* DOS at the Fermi energy: 0.57 states/eV/f.u.

a b c (Å): 3.1707 3.1707 11.5436
angles (deg): 90.00 90.00 90.00
Space group I4mm (No. 107)
One atom of each set of equivalent atoms:
Zn  0.0000  0.0000  0.0000 [2 per cell]
Ag  0.0000  0.0000  0.6406 [2 per cell]
Cl  0.0000  0.0000  0.3579 [2 per cell]

(6)
Computed, not measured: a relaxed Zn4AgCl crystal at the PBE level of DFT.

Summary:
* E_tot: -36.197 eV for the cell shown
* DOS at the Fermi energy: 4.68 states/eV/f.u.

a b c (Å): 7.5595 7.5595 7.5595
angles (deg): 90.00 90.00 90.00
Space group F-43m (No. 216)
One atom of each set of equivalent atoms:
Zn  0.1239  0.1239  0.1239 [16 per cell]
Ag  0.2500  0.2500  0.7500 [4 per cell]
Cl  0.0000  0.0000  0.5000 [4 per cell]

(7)
Computed, not measured: a relaxed ZnAgCl crystal at the PBE level of DFT.

Summary:
* ΔE to the lowest computed polymorph: 432 meV/atom
* DOS at the Fermi energy: 0.65 states/eV/f.u.

a b c (Å): 6.4886 6.4886 6.4886
angles (deg): 90.00 90.00 90.00
Space group F-43m (No. 216)
One atom of each set of equivalent atoms:
Zn  0.0000  0.0000  0.0000 [4 per cell]
Ag  0.2500  0.2500  0.7500 [4 per cell]
Cl  0.2500  0.2500  0.2500 [4 per cell]

(8)
Computed, not measured: a relaxed ZnAgCl crystal at the PBE level of DFT.

Summary:
* ΔE to the lowest computed polymorph: 62 meV/atom
* DOS at the Fermi energy: 0.71 states/eV/f.u.

a b c (Å): 6.6418 3.3741 11.7466
angles (deg): 90.00 90.00 90.00
Space group Amm2 (No. 38)
One atom of each set of equivalent atoms:
Zn  0.2425  0.0000  0.0000 [4 per cell]
Ag  0.0000  0.0000  0.3833 [2 per cell]
Ag  0.5000  0.0000  0.8362 [2 per cell]
Cl  0.2522  0.0000  0.1944 [4 per cell]